BaLiY2S4: relaxed, PBE-GGA.

Cell: 4.056 7.002 13.734 Å, 90.00 90.00 106.84°
Atoms (fractional coordinates):
1 Ba 0.115 0.229 0.750
2 Ba 0.885 0.771 0.250
3 Li 0.843 0.685 0.750
4 Li 0.157 0.315 0.250
5 Y 0.372 0.744 0.555
6 Y 0.628 0.256 0.055
7 Y 0.628 0.256 0.445
8 Y 0.372 0.744 0.945
9 S 0.264 0.529 0.113
10 S 0.736 0.471 0.613
11 S 0.736 0.471 0.887
12 S 0.264 0.529 0.387
13 S 0.000 0.000 0.500
14 S 0.000 0.000 0.000
15 S 0.434 0.868 0.750
16 S 0.566 0.132 0.250

Summary:
- ΔE_f (raw): -15.65 eV per formula unit
- M_tot: 0.000 μB/atom
- Space-group type: Cmcm, No. 63

***

Rb2NpAlTe4: relaxed, PBE-GGA.

Cell: 7.626 7.392 7.392 Å, 74.57 58.95 58.95°
Atoms (fractional coordinates):
1 Rb 0.000 0.500 0.500
2 Rb 0.500 0.500 0.500
3 Np 0.000 0.000 0.000
4 Al 0.500 0.000 0.000
5 Te 0.119 0.337 0.000
6 Te 0.881 0.000 0.663
7 Te 0.544 0.000 0.337
8 Te 0.456 0.663 0.000

Summary:
- ΔE_f (raw): -5.75 eV per formula unit
- M_tot: 0.500 μB/atom
- Space-group type: I-42m, No. 121

***

Please write out number 1 again, unchanged.
BaLiY2S4: relaxed, PBE-GGA.

Cell: 4.056 7.002 13.734 Å, 90.00 90.00 106.84°
Atoms (fractional coordinates):
1 Ba 0.115 0.229 0.750
2 Ba 0.885 0.771 0.250
3 Li 0.843 0.685 0.750
4 Li 0.157 0.315 0.250
5 Y 0.372 0.744 0.555
6 Y 0.628 0.256 0.055
7 Y 0.628 0.256 0.445
8 Y 0.372 0.744 0.945
9 S 0.264 0.529 0.113
10 S 0.736 0.471 0.613
11 S 0.736 0.471 0.887
12 S 0.264 0.529 0.387
13 S 0.000 0.000 0.500
14 S 0.000 0.000 0.000
15 S 0.434 0.868 0.750
16 S 0.566 0.132 0.250

Summary:
- ΔE_f (raw): -15.65 eV per formula unit
- M_tot: 0.000 μB/atom
- Space-group type: Cmcm, No. 63

***

> Among the records above, which one has the highest M_tot?

Rb2NpAlTe4